Record 1
Density functional theory data (PBE) for TmNbFe4 after structural relaxation.

Computed properties:
ΔH_f (0 K) in eV per formula unit: -0.71
DFT total energy in eV/atom: -8.184
Volume in Å³/atom: 14.37
Calculated density in g cm⁻³: 9.3

Cell and atoms, written as CIF:
```
data_TmNbFe4
_chemical_formula_sum 'Tm4 Nb4 Fe16'
_cell_length_a 7.014
_cell_length_b 7.014
_cell_length_c 7.014
_cell_angle_alpha 90.00
_cell_angle_beta 90.00
_cell_angle_gamma 90.00
_space_group_name_H-M_alt 'F -4 3 m'
_space_group_IT_number 216
_space_group_name_Hall 'F -4 2 3'
loop_
_atom_site_label
_atom_site_type_symbol
_atom_site_fract_x
_atom_site_fract_y
_atom_site_fract_z
Tm1 Tm 0.000 0.000 0.000
Nb1 Nb 0.250 0.250 0.250
Fe1 Fe 0.125 0.125 0.625
```

---

Record 2
Density functional theory data (PBE) for Tm2NbFe after structural relaxation.

Computed properties:
ΔH_f (0 K) in eV per formula unit: 2.44
DFT total energy in eV/atom: -6.259
Volume in Å³/atom: 21.51
Calculated density in g cm⁻³: 9.4

Cell and atoms, written as CIF:
```
data_Tm2NbFe
_chemical_formula_sum 'Tm6 Nb3 Fe3'
_cell_length_a 3.1599
_cell_length_b 3.1599
_cell_length_c 29.8560
_cell_angle_alpha 90.00
_cell_angle_beta 90.00
_cell_angle_gamma 120.00
_space_group_name_H-M_alt 'R -3 m'
_space_group_IT_number 166
_space_group_name_Hall '-R 3 2"'
loop_
_atom_site_label
_atom_site_type_symbol
_atom_site_fract_x
_atom_site_fract_y
_atom_site_fract_z
Tm1 Tm 0.0000 0.0000 0.0995
Nb1 Nb 0.0000 0.0000 0.0000
Fe1 Fe 0.0000 0.0000 0.5000
```

---

Record 3
Density functional theory data (PBE) for TmNbFe2 after structural relaxation.

Computed properties:
ΔH_f (0 K) in eV per formula unit: 0.21
ΔE to the lowest computed polymorph in meV/atom: 77
DFT total energy in eV/atom: -7.814
Volume in Å³/atom: 15.63
Calculated density in g cm⁻³: 9.9

Cell and atoms, written as CIF:
```
data_TmNbFe2
_chemical_formula_sum 'Tm4 Nb4 Fe8'
_cell_length_a 6.301
_cell_length_b 6.301
_cell_length_c 6.301
_cell_angle_alpha 90.00
_cell_angle_beta 90.00
_cell_angle_gamma 90.00
_space_group_name_H-M_alt 'F m -3 m'
_space_group_IT_number 225
_space_group_name_Hall '-F 4 2 3'
loop_
_atom_site_label
_atom_site_type_symbol
_atom_site_fract_x
_atom_site_fract_y
_atom_site_fract_z
Tm1 Tm 0.000 0.000 0.000
Nb1 Nb 0.000 0.000 0.500
Fe1 Fe 0.250 0.250 0.250
```

---

Record 4
Density functional theory data (PBE) for TmNb3Fe8 after structural relaxation.

Computed properties:
ΔH_f (0 K) in eV per formula unit: -1.31
DFT total energy in eV/atom: -8.641
Volume in Å³/atom: 13.82
Calculated density in g cm⁻³: 9.0

Cell and atoms, written as CIF:
```
data_TmNb3Fe8
_chemical_formula_sum 'Tm1 Nb3 Fe8'
_cell_length_a 4.8944
_cell_length_b 4.8944
_cell_length_c 7.9935
_cell_angle_alpha 90.00
_cell_angle_beta 90.00
_cell_angle_gamma 120.00
_space_group_name_H-M_alt 'P 3 m 1'
_space_group_IT_number 156
loop_
_space_group_symop_operation_xyz
'x,y,z'
'-y,x-y,z'
'-x+y,-x,z'
'-y,-x,z'
'-x+y,y,z'
'x,x-y,z'
loop_
_atom_site_label
_atom_site_type_symbol
_atom_site_fract_x
_atom_site_fract_y
_atom_site_fract_z
Tm1 Tm 0.0000 0.0000 0.0000
Nb1 Nb 0.0000 0.0000 0.3829
Nb2 Nb 0.6667 0.3333 0.4964
Nb3 Nb 0.6667 0.3333 0.8651
Fe1 Fe 0.1658 0.3316 0.6822
Fe2 Fe 0.3333 0.6667 0.4383
Fe3 Fe 0.3333 0.6667 0.9354
Fe4 Fe 0.5017 0.0035 0.1923
```

---

Record 5
Density functional theory data (PBE) for TmNbFe2 after structural relaxation.

Computed properties:
ΔH_f (0 K) in eV per formula unit: 0.29
ΔE to the lowest computed polymorph in meV/atom: 97
DFT total energy in eV/atom: -7.794
Volume in Å³/atom: 15.62
Calculated density in g cm⁻³: 9.9

Cell and atoms, written as CIF:
```
data_TmNbFe2
_chemical_formula_sum 'Tm1 Nb1 Fe2'
_cell_length_a 4.472
_cell_length_b 4.472
_cell_length_c 3.123
_cell_angle_alpha 90.00
_cell_angle_beta 90.00
_cell_angle_gamma 90.00
_space_group_name_H-M_alt 'P 4/m m m'
_space_group_IT_number 123
_space_group_name_Hall '-P 4 2'
loop_
_atom_site_label
_atom_site_type_symbol
_atom_site_fract_x
_atom_site_fract_y
_atom_site_fract_z
Tm1 Tm 0.000 0.000 0.000
Nb1 Nb 0.500 0.500 0.000
Fe1 Fe 0.000 0.500 0.500
```

---

Record 6
Density functional theory data (PBE) for UNb2Fe after structural relaxation.

Computed properties:
ΔH_f (0 K) in eV per formula unit: 1.07
ΔE to the lowest computed polymorph in meV/atom: 13
DFT total energy in eV/atom: -9.705
Volume in Å³/atom: 17.46
Calculated density in g cm⁻³: 11.4

Cell and atoms, written as CIF:
```
data_UNb2Fe
_chemical_formula_sum 'U1 Nb2 Fe1'
_cell_length_a 4.652
_cell_length_b 4.652
_cell_length_c 3.226
_cell_angle_alpha 90.00
_cell_angle_beta 90.00
_cell_angle_gamma 90.00
_space_group_name_H-M_alt 'P 4/m m m'
_space_group_IT_number 123
_space_group_name_Hall '-P 4 2'
loop_
_atom_site_label
_atom_site_type_symbol
_atom_site_fract_x
_atom_site_fract_y
_atom_site_fract_z
U1 U 0.000 0.000 0.000
Nb1 Nb 0.000 0.500 0.500
Fe1 Fe 0.500 0.500 0.000
```

---

Record 7
Density functional theory data (PBE) for UNb2Fe after structural relaxation.

Computed properties:
ΔH_f (0 K) in eV per formula unit: 1.95
ΔE to the lowest computed polymorph in meV/atom: 233
DFT total energy in eV/atom: -9.486
Volume in Å³/atom: 17.68
Calculated density in g cm⁻³: 11.3

Cell and atoms, written as CIF:
```
data_UNb2Fe
_chemical_formula_sum 'U3 Nb6 Fe3'
_cell_length_a 2.8867
_cell_length_b 2.8867
_cell_length_c 29.3982
_cell_angle_alpha 90.00
_cell_angle_beta 90.00
_cell_angle_gamma 120.00
_space_group_name_H-M_alt 'R -3 m'
_space_group_IT_number 166
_space_group_name_Hall '-R 3 2"'
loop_
_atom_site_label
_atom_site_type_symbol
_atom_site_fract_x
_atom_site_fract_y
_atom_site_fract_z
U1 U 0.0000 0.0000 0.0000
Nb1 Nb 0.0000 0.0000 0.0962
Fe1 Fe 0.0000 0.0000 0.5000
```

---

Record 8
Density functional theory data (PBE) for UNbFe after structural relaxation.

Computed properties:
ΔH_f (0 K) in eV per formula unit: 0.06
ΔE to the lowest computed polymorph in meV/atom: 0
DFT total energy in eV/atom: -9.921
Volume in Å³/atom: 16.52
Calculated density in g cm⁻³: 13.0

Cell and atoms, written as CIF:
```
data_UNbFe
_chemical_formula_sum 'U2 Nb2 Fe2'
_cell_length_a 2.782
_cell_length_b 4.846
_cell_length_c 7.519
_cell_angle_alpha 99.65
_cell_angle_beta 96.42
_cell_angle_gamma 92.48
_space_group_name_H-M_alt 'P -1'
_space_group_IT_number 2
loop_
_space_group_symop_operation_xyz
'x,y,z'
'-x,-y,-z'
loop_
_atom_site_label
_atom_site_type_symbol
_atom_site_fract_x
_atom_site_fract_y
_atom_site_fract_z
U1 U 0.230 0.273 0.084
Nb1 Nb 0.381 0.152 0.677
Fe1 Fe 0.127 0.355 0.373
```

---

- What is the volume in the second record?
  21.51 Å³/atom

---

Copy entry 5 word for word.
Density functional theory data (PBE) for TmNbFe2 after structural relaxation.

Computed properties:
ΔH_f (0 K) in eV per formula unit: 0.29
ΔE to the lowest computed polymorph in meV/atom: 97
DFT total energy in eV/atom: -7.794
Volume in Å³/atom: 15.62
Calculated density in g cm⁻³: 9.9

Cell and atoms, written as CIF:
```
data_TmNbFe2
_chemical_formula_sum 'Tm1 Nb1 Fe2'
_cell_length_a 4.472
_cell_length_b 4.472
_cell_length_c 3.123
_cell_angle_alpha 90.00
_cell_angle_beta 90.00
_cell_angle_gamma 90.00
_space_group_name_H-M_alt 'P 4/m m m'
_space_group_IT_number 123
_space_group_name_Hall '-P 4 2'
loop_
_atom_site_label
_atom_site_type_symbol
_atom_site_fract_x
_atom_site_fract_y
_atom_site_fract_z
Tm1 Tm 0.000 0.000 0.000
Nb1 Nb 0.500 0.500 0.000
Fe1 Fe 0.000 0.500 0.500
```

---

- Among the records above, which one has the lowest volume?
  TmNb3Fe8

---

- Among the records above, which one has the highest DFT total energy?
  Tm2NbFe